No. 1
Entry from the Alexandria database: a crystal of ZrMoAu2 relaxed with PBEsol (SCAN).

## Properties
Electronic total energy: -50.962 eV/atom
Offset from the most stable computed form: 114.6 meV per atom
N(E_F): 3.65 states/eV per cell
Mass density: 13.78 g/cm³

a = 4.6260 Å, b = 4.6260 Å, c = 4.6260 Å
α = 60.00°, β = 60.00°, γ = 60.00°
Last column: nearest neighbours and their distance in Å.
Atoms (fractional coordinates):
Zr 0.0000 0.0000 0.0000  4 Mo 2.83, 4 Au 2.83
Mo 0.2500 0.2500 0.2500  4 Zr 2.83, 4 Au 2.83
Au 0.5000 0.5000 0.5000  4 Mo 2.83, 4 Au 2.83
Au 0.7500 0.7500 0.7500  4 Au 2.83, 4 Zr 2.83

---

No. 2
Entry from the Alexandria database: a crystal of Tc2AgRu relaxed with PBEsol (SCAN).

## Properties
Electronic total energy: -33.751 eV/atom
Offset from the most stable computed form: 0.0 meV per atom
N(E_F): 4.53 states/eV per cell
Mass density: 11.62 g/cm³

a = 2.6998 Å, b = 2.6998 Å, c = 7.9379 Å
α = 90.00°, β = 90.00°, γ = 90.00°
Last column: nearest neighbours and their distance in Å.
Atoms (fractional coordinates):
Tc 0.0000 0.0000 0.0000  4 Ru 2.58, 8 Tc 2.70-2.73
Tc 0.5000 0.5000 0.2456  8 Tc 2.70-2.73, 4 Ag 2.85
Ag 0.0000 0.0000 0.5127  4 Ag 2.70, 4 Tc 2.85, 4 Ru 2.86
Ru 0.5000 0.5000 0.7808  4 Tc 2.58, 4 Ru 2.70, 4 Ag 2.86

---

No. 3
Entry from the Alexandria database: a crystal of Si3Hg relaxed with PBEsol (SCAN).

## Properties
Electronic total energy: -23.885 eV/atom
Offset from the most stable computed form: 20.3 meV per atom
N(E_F): 1.52 states/eV per cell
Formation energy without anion corrections: 0.669 eV/atom
Mass density: 6.71 g/cm³

a = 9.9217 Å, b = 9.9217 Å, c = 9.9217 Å
α = 16.72°, β = 16.72°, γ = 16.72°
Last column: nearest neighbours and their distance in Å.
Atoms (fractional coordinates):
Si 0.0000 0.0000 0.0000  12 Si 2.59-2.89
Si 0.2659 0.2659 0.2659  9 Si 2.59-2.89
Si 0.7341 0.7341 0.7341  9 Si 2.59-2.89
Hg 0.5000 0.5000 0.5000  6 Hg 2.89

---

No. 4
Entry from the Alexandria database: a crystal of AlGaPtCl2 relaxed with PBEsol (SCAN).

## Properties
Electronic total energy: -21.848 eV/atom
N(E_F): 4.69 states/eV per cell
Formation energy without anion corrections: 0.201 eV/atom
Mass density: 5.42 g/cm³

a = 4.2988 Å, b = 4.2988 Å, c = 6.0132 Å
α = 90.00°, β = 90.00°, γ = 90.00°
Last column: nearest neighbours and their distance in Å.
Atoms (fractional coordinates):
Al 0.0000 0.0000 0.0000  4 Cl 2.15
Ga 0.0000 0.0000 0.5000  2 Al 3.01, 4 Pt 3.04
Pt 0.5000 0.5000 0.5000  4 Ga 3.04
Cl 0.0000 0.5000 0.0000  2 Al 2.15
Cl 0.5000 0.0000 0.0000  2 Al 2.15

---

No. 5
Entry from the Alexandria database: a crystal of Tl3RhC relaxed with PBEsol (SCAN).

## Properties
Electronic total energy: -50.790 eV/atom
N(E_F): 3.91 states/eV per cell
Mass density: 11.75 g/cm³

a = 4.6859 Å, b = 4.6859 Å, c = 4.6859 Å
α = 90.00°, β = 90.00°, γ = 90.00°
Last column: nearest neighbours and their distance in Å.
Atoms (fractional coordinates):
Tl 0.0000 0.0000 0.5000  2 C 2.34
Tl 0.0000 0.5000 0.0000  2 C 2.34
Tl 0.5000 0.0000 0.0000  2 C 2.34
Rh 0.5000 0.5000 0.5000  12 Tl 3.31
C 0.0000 0.0000 0.0000  6 Tl 2.34

---

No. 6
Entry from the Alexandria database: a crystal of CdPt relaxed with PBEsol (SCAN).

## Properties
Electronic total energy: -50.587 eV/atom
N(E_F): 1.49 states/eV per cell
Mass density: 15.10 g/cm³

a = 5.3447 Å, b = 5.3447 Å, c = 4.8436 Å
α = 109.79°, β = 109.79°, γ = 31.47°
Last column: nearest neighbours and their distance in Å.
Atoms (fractional coordinates):
Cd 0.1120 0.1120 0.3001  7 Pt 2.80-2.87, 3 Cd 2.90-3.01
Cd 0.8880 0.8880 0.6999  7 Pt 2.80-2.87, 3 Cd 2.90-3.01
Pt 0.3637 0.3637 0.1903  7 Cd 2.80-2.87, 4 Pt 2.82-2.90
Pt 0.6363 0.6363 0.8097  7 Cd 2.80-2.87, 4 Pt 2.82-2.90

---

No. 7
Entry from the Alexandria database: a crystal of Ta3Mn8Al relaxed with PBEsol (SCAN).

## Properties
Electronic total energy: -29.668 eV/atom
N(E_F): 10.30 states/eV per cell
Mass density: 11.26 g/cm³

a = 4.7031 Å, b = 4.7031 Å, c = 7.7684 Å
α = 90.00°, β = 90.00°, γ = 120.00°
Last column: nearest neighbours and their distance in Å.
Atoms (fractional coordinates):
Ta 0.0000 0.0000 0.0000  12 Mn 2.75-2.79, 4 Ta 2.92-2.93
Ta 0.0000 0.0000 0.3770  12 Mn 2.73-2.78, 3 Al 2.87, 1 Ta 2.93
Ta 0.3333 0.6667 0.8604  12 Mn 2.72-2.85, 1 Al 2.82, 3 Ta 2.92
Mn 0.0135 0.5068 0.1870  6 Mn 2.26-2.45
Mn 0.3243 0.1621 0.6841  6 Mn 2.29-2.45
Mn 0.4932 0.5068 0.1870  6 Mn 2.26-2.45
Mn 0.4932 0.9865 0.1870  6 Mn 2.26-2.45
Mn 0.6667 0.3333 0.4378  6 Mn 2.37-2.41
Mn 0.6667 0.3333 0.9436  6 Mn 2.36-2.45
Mn 0.8379 0.1621 0.6841  6 Mn 2.29-2.45
Mn 0.8379 0.6757 0.6841  6 Mn 2.29-2.45
Al 0.3333 0.6667 0.4971  12 Mn 2.74-2.76, 4 Ta 2.82-2.87

---

No. 8
Entry from the Alexandria database: a crystal of P4O7 relaxed with PBEsol (SCAN).

## Properties
Electronic total energy: -9.590 eV/atom
N(E_F): 0.00 states/eV per cell
Formation energy without anion corrections: -1.843 eV/atom
Mass density: 2.33 g/cm³

a = 7.8642 Å, b = 9.2000 Å, c = 11.7746 Å
α = 90.00°, β = 127.76°, γ = 90.00°
Last column: nearest neighbours and their distance in Å.
Atoms (fractional coordinates):
P 0.0155 0.1389 0.4301  3 O 1.64-1.69
P 0.0155 0.3611 0.9301  3 O 1.64-1.69
P 0.1110 0.0960 0.8359  3 O 1.64-1.68
P 0.1110 0.4040 0.3359  3 O 1.64-1.68
P 0.2721 0.1288 0.1299  4 O 1.46-1.60
P 0.2721 0.3712 0.6299  4 O 1.46-1.60
P 0.4587 0.1917 0.5290  3 O 1.65-1.71
P 0.4587 0.3083 0.0290  3 O 1.65-1.71
P 0.5413 0.6917 0.9710  3 O 1.65-1.71
P 0.5413 0.8083 0.4710  3 O 1.65-1.71
P 0.7279 0.6288 0.3701  4 O 1.46-1.60
P 0.7279 0.8712 0.8701  4 O 1.46-1.60
P 0.8890 0.5960 0.6641  3 O 1.64-1.68
P 0.8890 0.9040 0.1641  3 O 1.64-1.68
P 0.9845 0.6389 0.0699  3 O 1.64-1.69
P 0.9845 0.8611 0.5699  3 O 1.64-1.69
O 0.0433 0.7322 0.6868  2 P 1.65
O 0.0433 0.7678 0.1868  2 P 1.65
O 0.0958 0.2458 0.5719  2 P 1.60-1.69
O 0.0958 0.2542 0.0719  2 P 1.60-1.69
O 0.1790 0.0295 0.9920  2 P 1.60-1.68
O 0.1790 0.4705 0.4920  2 P 1.60-1.68
O 0.2529 0.0887 0.4817  2 P 1.64-1.65
O 0.2529 0.4113 0.9817  2 P 1.64-1.65
O 0.3169 0.0480 0.2527  1 P 1.46
O 0.3169 0.4520 0.7527  1 P 1.46
O 0.3365 0.1824 0.9008  2 P 1.64-1.66
O 0.3365 0.3176 0.4008  2 P 1.64-1.66
O 0.4739 0.2084 0.1575  2 P 1.59-1.71
O 0.4739 0.2916 0.6575  2 P 1.59-1.71
O 0.5261 0.7084 0.3425  2 P 1.59-1.71
O 0.5261 0.7916 0.8425  2 P 1.59-1.71
O 0.6635 0.6824 0.5992  2 P 1.64-1.66
O 0.6635 0.8176 0.0992  2 P 1.64-1.66
O 0.6831 0.5480 0.2473  1 P 1.46
O 0.6831 0.9520 0.7473  1 P 1.46
O 0.7471 0.5887 0.0183  2 P 1.64-1.65
O 0.7471 0.9113 0.5183  2 P 1.64-1.65
O 0.8210 0.5295 0.5080  2 P 1.60-1.68
O 0.8210 0.9705 0.0080  2 P 1.60-1.68
O 0.9042 0.7458 0.9281  2 P 1.60-1.69
O 0.9042 0.7542 0.4281  2 P 1.60-1.69
O 0.9567 0.2322 0.8132  2 P 1.65
O 0.9567 0.2678 0.3132  2 P 1.65